Version 1
## OsRu2Pt2 (GGA-PBE)

Data for crystalline OsRu2Pt2 at its relaxed geometry.

The structure in CIF format:
```
data_OsRu2Pt2
_chemical_formula_sum 'Os1 Ru2 Pt2'
_cell_length_a 3.615
_cell_length_b 3.615
_cell_length_c 6.782
_cell_angle_alpha 74.55
_cell_angle_beta 74.55
_cell_angle_gamma 90.00
_symmetry_space_group_name_H-M 'P 1'
_symmetry_Int_Tables_number 1
_symmetry_space_group_name_Hall 'P 1'
loop_
_atom_site_label
_atom_site_type_symbol
_atom_site_fract_x
_atom_site_fract_y
_atom_site_fract_z
Ru1 Ru 0.594 0.594 0.811
Ru2 Ru 0.406 0.406 0.189
Pt1 Pt 0.250 0.750 0.500
Pt2 Pt 0.750 0.250 0.500
Os1 Os 0.000 0.000 0.000
```

Values from the calculation:
V	16.415	A^3/atom

***

Version 2
## OsRu2Pt2 (GGA-PBE)

Data for crystalline OsRu2Pt2 at its relaxed geometry.

The structure in CIF format:
```
data_OsRu2Pt2
_chemical_formula_sum 'Os2 Ru4 Pt4'
_cell_length_a 6.598
_cell_length_b 6.598
_cell_length_c 3.610
_cell_angle_alpha 90.00
_cell_angle_beta 90.00
_cell_angle_gamma 90.00
_symmetry_space_group_name_H-M 'P 1'
_symmetry_Int_Tables_number 1
_symmetry_space_group_name_Hall 'P 1'
loop_
_atom_site_label
_atom_site_type_symbol
_atom_site_fract_x
_atom_site_fract_y
_atom_site_fract_z
Pt1 Pt 0.332 0.168 0.500
Pt2 Pt 0.832 0.332 0.500
Pt3 Pt 0.168 0.668 0.500
Pt4 Pt 0.668 0.832 0.500
Os1 Os 0.000 0.000 0.000
Os2 Os 0.500 0.500 0.000
Ru1 Ru 0.871 0.629 0.000
Ru2 Ru 0.629 0.129 0.000
Ru3 Ru 0.371 0.871 0.000
Ru4 Ru 0.129 0.371 0.000
```

Values from the calculation:
V	15.719	A^3/atom

***

Which structure loses on stability? version 1 does.

***

Version 1
## OsPt3S (GGA-PBE)

Data for crystalline OsPt3S at its relaxed geometry.

The structure in CIF format:
```
data_OsPt3S
_chemical_formula_sum 'Os1 Pt3 S1'
_cell_length_a 4.816
_cell_length_b 4.816
_cell_length_c 4.816
_cell_angle_alpha 90.00
_cell_angle_beta 90.00
_cell_angle_gamma 90.00
_symmetry_space_group_name_H-M 'P 1'
_symmetry_Int_Tables_number 1
_symmetry_space_group_name_Hall 'P 1'
loop_
_atom_site_label
_atom_site_type_symbol
_atom_site_fract_x
_atom_site_fract_y
_atom_site_fract_z
Pt1 Pt 0.000 0.500 0.000
Pt2 Pt 0.500 0.000 0.000
Pt3 Pt 0.000 0.000 0.500
Os1 Os 0.000 0.000 0.000
S1 S 0.500 0.500 0.500
```

Values from the calculation:
V	22.345	A^3/atom

***

Version 2
## OsPt3S (GGA-PBE)

Data for crystalline OsPt3S at its relaxed geometry.

The structure in CIF format:
```
data_OsPt3S
_chemical_formula_sum 'Os1 Pt3 S1'
_cell_length_a 4.456
_cell_length_b 4.456
_cell_length_c 4.456
_cell_angle_alpha 90.00
_cell_angle_beta 90.00
_cell_angle_gamma 90.00
_symmetry_space_group_name_H-M 'P 1'
_symmetry_Int_Tables_number 1
_symmetry_space_group_name_Hall 'P 1'
loop_
_atom_site_label
_atom_site_type_symbol
_atom_site_fract_x
_atom_site_fract_y
_atom_site_fract_z
Os1 Os 0.500 0.500 0.500
S1 S 0.000 0.000 0.000
Pt1 Pt 0.000 0.000 0.500
Pt2 Pt 0.000 0.500 0.000
Pt3 Pt 0.500 0.000 0.000
```

Values from the calculation:
V	17.695	A^3/atom

***

Which structure loses on stability? version 1 does.

***

Version 1
## Os3PtS (GGA-PBE)

Data for crystalline Os3PtS at its relaxed geometry.

The structure in CIF format:
```
data_Os3PtS
_chemical_formula_sum 'Os3 Pt1 S1'
_cell_length_a 4.844
_cell_length_b 4.844
_cell_length_c 4.844
_cell_angle_alpha 90.00
_cell_angle_beta 90.00
_cell_angle_gamma 90.00
_symmetry_space_group_name_H-M 'P 1'
_symmetry_Int_Tables_number 1
_symmetry_space_group_name_Hall 'P 1'
loop_
_atom_site_label
_atom_site_type_symbol
_atom_site_fract_x
_atom_site_fract_y
_atom_site_fract_z
Os1 Os 0.000 0.500 0.000
Os2 Os 0.000 0.000 0.500
Os3 Os 0.500 0.000 0.000
Pt1 Pt 0.000 0.000 0.000
S1 S 0.500 0.500 0.500
```

Values from the calculation:
V	22.737	A^3/atom

***

Version 2
## Os3PtS (GGA-PBE)

Data for crystalline Os3PtS at its relaxed geometry.

The structure in CIF format:
```
data_Os3PtS
_chemical_formula_sum 'Os3 Pt1 S1'
_cell_length_a 4.316
_cell_length_b 4.316
_cell_length_c 4.316
_cell_angle_alpha 90.00
_cell_angle_beta 90.00
_cell_angle_gamma 90.00
_symmetry_space_group_name_H-M 'P 1'
_symmetry_Int_Tables_number 1
_symmetry_space_group_name_Hall 'P 1'
loop_
_atom_site_label
_atom_site_type_symbol
_atom_site_fract_x
_atom_site_fract_y
_atom_site_fract_z
S1 S 0.000 0.000 0.000
Os1 Os 0.000 0.500 0.000
Os2 Os 0.000 0.000 0.500
Os3 Os 0.500 0.000 0.000
Pt1 Pt 0.500 0.500 0.500
```

Values from the calculation:
V	16.084	A^3/atom

***

Which structure loses on stability? version 1 does.

***

Version 1
## OsPtS2 (GGA-PBE)

Data for crystalline OsPtS2 at its relaxed geometry.

The structure in CIF format:
```
data_OsPtS2
_chemical_formula_sum 'Os2 Pt2 S4'
_cell_length_a 5.331
_cell_length_b 5.331
_cell_length_c 6.515
_cell_angle_alpha 65.85
_cell_angle_beta 65.85
_cell_angle_gamma 90.00
_symmetry_space_group_name_H-M 'P 1'
_symmetry_Int_Tables_number 1
_symmetry_space_group_name_Hall 'P 1'
loop_
_atom_site_label
_atom_site_type_symbol
_atom_site_fract_x
_atom_site_fract_y
_atom_site_fract_z
Pt1 Pt 0.750 0.250 0.500
Pt2 Pt 0.000 0.000 0.000
Os1 Os 0.500 0.500 0.000
Os2 Os 0.250 0.750 0.500
S1 S 0.144 0.625 0.250
S2 S 0.875 0.856 0.750
S3 S 0.375 0.394 0.750
S4 S 0.606 0.125 0.250
```

Values from the calculation:
V	18.881	A^3/atom

***

Version 2
## OsPtS2 (GGA-PBE)

Data for crystalline OsPtS2 at its relaxed geometry.

The structure in CIF format:
```
data_OsPtS2
_chemical_formula_sum 'Os1 Pt1 S2'
_cell_length_a 7.504
_cell_length_b 7.504
_cell_length_c 7.504
_cell_angle_alpha 25.97
_cell_angle_beta 25.97
_cell_angle_gamma 25.97
_symmetry_space_group_name_H-M 'P 1'
_symmetry_Int_Tables_number 1
_symmetry_space_group_name_Hall 'P 1'
loop_
_atom_site_label
_atom_site_type_symbol
_atom_site_fract_x
_atom_site_fract_y
_atom_site_fract_z
Os1 Os 0.500 0.500 0.500
S1 S 0.896 0.896 0.896
S2 S 0.104 0.104 0.104
Pt1 Pt 0.000 0.000 0.000
```

Values from the calculation:
V	17.837	A^3/atom

***

Version 3
## OsPtS2 (GGA-PBE)

Data for crystalline OsPtS2 at its relaxed geometry.

The structure in CIF format:
```
data_OsPtS2
_chemical_formula_sum 'Os1 Pt1 S2'
_cell_length_a 4.336
_cell_length_b 4.336
_cell_length_c 4.336
_cell_angle_alpha 60.00
_cell_angle_beta 60.00
_cell_angle_gamma 60.00
_symmetry_space_group_name_H-M 'P 1'
_symmetry_Int_Tables_number 1
_symmetry_space_group_name_Hall 'P 1'
loop_
_atom_site_label
_atom_site_type_symbol
_atom_site_fract_x
_atom_site_fract_y
_atom_site_fract_z
Pt1 Pt 0.500 0.500 0.500
S1 S 0.250 0.250 0.250
S2 S 0.750 0.750 0.750
Os1 Os 0.000 0.000 0.000
```

Values from the calculation:
V	14.408	A^3/atom

***

Which structure loses on stability? version 3 does.